Dy4AlFe | PBE | optimized geometry

Output
Crystal system: monoclinic
E_tot, eV per cell: -125.5
ΔE_f, meV/atom: -126
Total magnetic moment, μB per formula unit: 0.00

a = 8.5405 Å, b = 12.6133 Å, c = 5.9903 Å
α = 90.00°, β = 107.24°, γ = 90.00°
Last column: nearest neighbours and their distance in Å.
Space group C2/c (No. 15)
One atom of each set of equivalent atoms:
Dy (0.1075, 0.1651, 0.0443)  2 Fe 2.70-2.72
Dy (0.2137, 0.4219, 0.3932)  2 Fe 2.90-2.99, 1 Al 3.12
Al (0.0000, 0.3750, 0.7500)  8 Dy 3.12-3.25
Fe (0.0000, 0.0013, 0.2500)  8 Dy 2.70-2.99, 2 Fe 3.00

LaTeCl | PBE | optimized geometry

Output
Crystal system: monoclinic
E_tot, eV per cell: -62.1
Total magnetic moment, μB per formula unit: 0.00
E_form (uncorrected), eV per atom: -1.872
Polymorph energy (0 for the lowest one), eV/f.u.: 0.30

a = 7.3833 Å, b = 7.3468 Å, c = 7.6889 Å
α = 90.00°, β = 102.31°, γ = 90.00°
Last column: nearest neighbours and their distance in Å.
Space group Cc (No. 9)
One atom of each set of equivalent atoms:
La (0.0000, 0.2010, 0.0000)  3 Cl 2.87-2.97
Te (0.2015, 0.4475, 0.7196)  4 La 3.24-3.39
Cl (0.2205, 0.0446, 0.3349)  3 La 2.87-2.97